Record 1
Below is an optimized crystal structure of BRh3Pb, with properties calculated at the PBE level.

offset from the most stable computed form = 78.1 meV per atom
space-group type = No. 227
volume = 82.82 Å³/f.u.
formation energy = -0.15 eV per atom

Unit cell a=7.7667 b=7.7667 c=7.7667 alpha=60.00 beta=60.00 gamma=60.00
Atoms (fractional coordinates):
B 0.0000 0.0000 0.0000
B 0.0000 0.0000 0.5000
B 0.0000 0.5000 0.0000
B 0.5000 0.0000 0.0000
Rh 0.0715 0.0715 0.6785
Rh 0.0715 0.6785 0.0715
Rh 0.0715 0.6785 0.6785
Rh 0.3215 0.3215 0.9285
Rh 0.3215 0.9285 0.3215
Rh 0.3215 0.9285 0.9285
Rh 0.6785 0.0715 0.0715
Rh 0.6785 0.0715 0.6785
Rh 0.6785 0.6785 0.0715
Rh 0.9285 0.3215 0.3215
Rh 0.9285 0.3215 0.9285
Rh 0.9285 0.9285 0.3215
Pb 0.0000 0.5000 0.5000
Pb 0.5000 0.0000 0.5000
Pb 0.5000 0.5000 0.0000
Pb 0.5000 0.5000 0.5000

---

Record 2
Below is an optimized crystal structure of TaCdIO6, with properties calculated at the PBE level.

E_form (uncorrected) = -12.4 eV per formula unit
space-group type = No. 163
volume = 125.31 Å³/f.u.

Unit cell a=5.4640 b=5.4640 c=9.6935 alpha=90.00 beta=90.00 gamma=120.00
Atoms (fractional coordinates):
Ta 0.3333 0.6667 0.2500
Ta 0.6667 0.3333 0.7500
Cd 0.0000 0.0000 0.0000
Cd 0.0000 0.0000 0.5000
I 0.3333 0.6667 0.7500
I 0.6667 0.3333 0.2500
O 0.0130 0.3684 0.1376
O 0.0130 0.6446 0.3624
O 0.3554 0.3684 0.3624
O 0.3554 0.9870 0.1376
O 0.3684 0.0130 0.6376
O 0.3684 0.3554 0.8624
O 0.6316 0.6446 0.1376
O 0.6316 0.9870 0.3624
O 0.6446 0.0130 0.8624
O 0.6446 0.6316 0.6376
O 0.9870 0.3554 0.6376
O 0.9870 0.6316 0.8624

---

Record 3
Below is an optimized crystal structure of TlTePS2, with properties calculated at the PBE level.

offset from the most stable computed form = 0.0 meV per atom
E_form (uncorrected) = 2.5 eV per formula unit
space-group type = No. 123
volume = 139.66 Å³/f.u.

Unit cell a=5.1992 b=5.1992 c=5.1666 alpha=90.00 beta=90.00 gamma=90.00
Atoms (fractional coordinates):
Tl 0.0000 0.0000 0.0000
Te 0.5000 0.5000 0.5000
P 0.5000 0.5000 0.0000
S 0.0000 0.5000 0.5000
S 0.5000 0.0000 0.5000

---

Record 4
Below is an optimized crystal structure of NaCdIr3, with properties calculated at the PBE level.

offset from the most stable computed form = 44.2 meV per atom
space-group type = No. 221
volume = 93.63 Å³/f.u.
formation energy = 2.07 eV per atom

Unit cell a=4.5408 b=4.5408 c=4.5408 alpha=90.00 beta=90.00 gamma=90.00
Atoms (fractional coordinates):
Na 0.0000 0.0000 0.0000
Cd 0.5000 0.5000 0.5000
Ir 0.0000 0.0000 0.5000
Ir 0.0000 0.5000 0.0000
Ir 0.5000 0.0000 0.0000

---

Record 5
Below is an optimized crystal structure of RbLi3Tl3, with properties calculated at the PBE level.

space-group type = No. 223
volume = 227.99 Å³/f.u.
formation energy = 0.08 eV per atom

Unit cell a=7.6969 b=7.6969 c=7.6969 alpha=90.00 beta=90.00 gamma=90.00
Atoms (fractional coordinates):
Rb 0.0000 0.0000 0.0000
Rb 0.5000 0.5000 0.5000
Li 0.0000 0.2500 0.5000
Li 0.0000 0.7500 0.5000
Li 0.2500 0.5000 0.0000
Li 0.5000 0.0000 0.2500
Li 0.5000 0.0000 0.7500
Li 0.7500 0.5000 0.0000
Tl 0.0000 0.5000 0.2500
Tl 0.0000 0.5000 0.7500
Tl 0.2500 0.0000 0.5000
Tl 0.5000 0.2500 0.0000
Tl 0.5000 0.7500 0.0000
Tl 0.7500 0.0000 0.5000

---

Record 6
Below is an optimized crystal structure of SiHg2Pb, with properties calculated at the PBE level.

offset from the most stable computed form = 77.4 meV per atom
E_form (uncorrected) = 1.4 eV per formula unit
space-group type = No. 65
volume = 100.20 Å³/f.u.

Unit cell a=3.4423 b=3.4423 c=9.1951 alpha=90.00 beta=90.00 gamma=113.12
Atoms (fractional coordinates):
Si 0.0000 0.0000 0.0000
Hg 0.5000 0.5000 0.2167
Hg 0.5000 0.5000 0.7833
Pb 0.0000 0.0000 0.5000